# 1
# Tl3NiF PBE+U relaxed
data_Tl3NiF
_space_group_name_H-M_alt 'P 1'
_space_group_IT_number 1
_space_group_name_Hall 'P 1'
_cell_length_a 5.037
_cell_length_b 5.037
_cell_length_c 5.037
_cell_angle_alpha 90.00
_cell_angle_beta 90.00
_cell_angle_gamma 90.00
loop_
_atom_site_label
_atom_site_type_symbol
_atom_site_fract_x
_atom_site_fract_y
_atom_site_fract_z
_atom_site_occupancy
Tl1 Tl 0.000 0.500 0.000 1
Tl2 Tl 0.500 0.000 0.000 1
Tl3 Tl 0.000 0.000 0.500 1
F1 F 0.500 0.500 0.500 1
Ni1 Ni 0.000 0.000 0.000 1
# N(E_F) (states/eV/atom): 0.17
# Energy relative to the lowest polymorph listed for this composition (meV/atom): 0
# Space-group type: No. 221
# M_tot (μB/cell): 0.0
# Crystal system: cubic

=====

# 2
# TlNiF2 PBE+U relaxed
data_TlNiF2
_space_group_name_H-M_alt 'P 1'
_space_group_IT_number 1
_space_group_name_Hall 'P 1'
_cell_length_a 7.360
_cell_length_b 7.360
_cell_length_c 7.360
_cell_angle_alpha 30.40
_cell_angle_beta 30.40
_cell_angle_gamma 30.40
loop_
_atom_site_label
_atom_site_type_symbol
_atom_site_fract_x
_atom_site_fract_y
_atom_site_fract_z
_atom_site_occupancy
Ni1 Ni 0.000 0.000 0.000 1
F1 F 0.911 0.911 0.911 1
F2 F 0.089 0.089 0.089 1
Tl1 Tl 0.500 0.500 0.500 1
# N(E_F) (states/eV/atom): 0.00
# Energy relative to the lowest polymorph listed for this composition (meV/atom): 243
# Space-group type: No. 166
# M_tot (μB/cell): 1.0
# Crystal system: trigonal

=====

# 3
# Tl2NiF8 PBE+U relaxed
data_Tl2NiF8
_space_group_name_H-M_alt 'P 1'
_space_group_IT_number 1
_space_group_name_Hall 'P 1'
_cell_length_a 4.491
_cell_length_b 6.573
_cell_length_c 6.574
_cell_angle_alpha 120.02
_cell_angle_beta 90.00
_cell_angle_gamma 90.00
loop_
_atom_site_label
_atom_site_type_symbol
_atom_site_fract_x
_atom_site_fract_y
_atom_site_fract_z
_atom_site_occupancy
Ni1 Ni 0.000 0.000 0.000 1
F1 F 0.246 0.150 0.853 1
F2 F 0.754 0.850 0.147 1
F3 F 0.734 0.333 0.667 1
F4 F 0.754 0.853 0.703 1
F5 F 0.246 0.703 0.850 1
F6 F 0.246 0.147 0.297 1
F7 F 0.266 0.667 0.333 1
F8 F 0.754 0.297 0.150 1
Tl1 Tl 0.766 0.667 0.333 1
Tl2 Tl 0.234 0.333 0.667 1
# Space-group type: No. 147
# M_tot (μB/cell): 2.1
# Crystal system: trigonal
# E_tot (eV/atom): -3.804

=====

# 4
# TmTl2Ni3F12 PBE+U relaxed
data_TmTl2Ni3F12
_space_group_name_H-M_alt 'P 1'
_space_group_IT_number 1
_space_group_name_Hall 'P 1'
_cell_length_a 6.678
_cell_length_b 6.678
_cell_length_c 6.678
_cell_angle_alpha 67.65
_cell_angle_beta 67.65
_cell_angle_gamma 67.65
loop_
_atom_site_label
_atom_site_type_symbol
_atom_site_fract_x
_atom_site_fract_y
_atom_site_fract_z
_atom_site_occupancy
F1 F 0.849 0.849 0.415 1
F2 F 0.151 0.151 0.585 1
F3 F 0.585 0.151 0.151 1
F4 F 0.753 0.108 0.753 1
F5 F 0.753 0.753 0.108 1
F6 F 0.247 0.247 0.892 1
F7 F 0.415 0.849 0.849 1
F8 F 0.108 0.753 0.753 1
F9 F 0.151 0.585 0.151 1
F10 F 0.247 0.892 0.247 1
F11 F 0.892 0.247 0.247 1
F12 F 0.849 0.415 0.849 1
Tl1 Tl 0.606 0.606 0.606 1
Tl2 Tl 0.394 0.394 0.394 1
Ni1 Ni 0.000 0.000 0.500 1
Ni2 Ni 0.500 0.000 0.000 1
Ni3 Ni 0.000 0.500 0.000 1
Tm1 Tm 0.000 0.000 0.000 1
# N(E_F) (states/eV/atom): 0.20
# Space-group type: No. 166
# M_tot (μB/cell): 5.0
# Crystal system: trigonal
# E_tot (eV/atom): -4.588

=====

# 5
# TlVNiF6 PBE+U relaxed
data_TlVNiF6
_space_group_name_H-M_alt 'P 1'
_space_group_IT_number 1
_space_group_name_Hall 'P 1'
_cell_length_a 5.382
_cell_length_b 5.430
_cell_length_c 6.058
_cell_angle_alpha 90.50
_cell_angle_beta 90.24
_cell_angle_gamma 59.69
loop_
_atom_site_label
_atom_site_type_symbol
_atom_site_fract_x
_atom_site_fract_y
_atom_site_fract_z
_atom_site_occupancy
F1 F 0.008 0.616 0.682 1
F2 F 0.371 0.620 0.321 1
F3 F 0.371 0.008 0.679 1
F4 F 0.008 0.376 0.318 1
F5 F 0.616 0.379 0.682 1
F6 F 0.616 0.005 0.318 1
Ni1 Ni 0.667 0.667 0.500 1
Tl1 Tl 0.005 0.997 0.000 1
V1 V 0.337 0.331 0.500 1
# N(E_F) (states/eV/atom): 0.00
# Space-group type: No. 5
# M_tot (μB/cell): 4.0
# Crystal system: monoclinic
# E_tot (eV/atom): -5.053

=====

# 6
# Tl3VNi2F9 PBE+U relaxed
data_Tl3VNi2F9
_space_group_name_H-M_alt 'P 1'
_space_group_IT_number 1
_space_group_name_Hall 'P 1'
_cell_length_a 5.919
_cell_length_b 5.919
_cell_length_c 7.255
_cell_angle_alpha 90.00
_cell_angle_beta 90.00
_cell_angle_gamma 120.00
loop_
_atom_site_label
_atom_site_type_symbol
_atom_site_fract_x
_atom_site_fract_y
_atom_site_fract_z
_atom_site_occupancy
Tl1 Tl 0.333 0.667 0.669 1
Tl2 Tl 0.000 0.000 0.000 1
Tl3 Tl 0.667 0.333 0.331 1
F1 F 0.341 0.170 0.672 1
F2 F 0.659 0.830 0.328 1
F3 F 0.170 0.341 0.328 1
F4 F 0.830 0.659 0.672 1
F5 F 0.500 0.000 0.000 1
F6 F 0.830 0.170 0.672 1
F7 F 0.000 0.500 0.000 1
F8 F 0.500 0.500 0.000 1
F9 F 0.170 0.830 0.328 1
Ni1 Ni 0.667 0.333 0.837 1
Ni2 Ni 0.333 0.667 0.163 1
V1 V 0.000 0.000 0.500 1
# N(E_F) (states/eV/atom): 0.00
# Space-group type: No. 164
# M_tot (μB/cell): 7.0
# Crystal system: trigonal
# E_tot (eV/atom): -4.560

=====

# 7
# Tl2VNi3F12 PBE+U relaxed
data_Tl2VNi3F12
_space_group_name_H-M_alt 'P 1'
_space_group_IT_number 1
_space_group_name_Hall 'P 1'
_cell_length_a 7.434
_cell_length_b 7.434
_cell_length_c 7.434
_cell_angle_alpha 58.57
_cell_angle_beta 58.57
_cell_angle_gamma 58.57
loop_
_atom_site_label
_atom_site_type_symbol
_atom_site_fract_x
_atom_site_fract_y
_atom_site_fract_z
_atom_site_occupancy
F1 F 0.077 0.672 0.672 1
F2 F 0.933 0.305 0.933 1
F3 F 0.695 0.067 0.067 1
F4 F 0.328 0.328 0.923 1
F5 F 0.067 0.695 0.067 1
F6 F 0.672 0.077 0.672 1
F7 F 0.328 0.923 0.328 1
F8 F 0.923 0.328 0.328 1
F9 F 0.672 0.672 0.077 1
F10 F 0.933 0.933 0.305 1
F11 F 0.067 0.067 0.695 1
F12 F 0.305 0.933 0.933 1
Ni1 Ni 0.000 0.500 0.000 1
Ni2 Ni 0.000 0.000 0.500 1
Ni3 Ni 0.500 0.000 0.000 1
Tl1 Tl 0.599 0.599 0.599 1
Tl2 Tl 0.401 0.401 0.401 1
V1 V 0.000 0.000 0.000 1
# Space-group type: No. 166
# M_tot (μB/cell): 7.0
# Crystal system: trigonal
# E_tot (eV/atom): -4.605

=====

# 8
# Tl2VNiF6 PBE+U relaxed
data_Tl2VNiF6
_space_group_name_H-M_alt 'P 1'
_space_group_IT_number 1
_space_group_name_Hall 'P 1'
_cell_length_a 5.950
_cell_length_b 5.955
_cell_length_c 8.409
_cell_angle_alpha 90.00
_cell_angle_beta 90.00
_cell_angle_gamma 90.00
loop_
_atom_site_label
_atom_site_type_symbol
_atom_site_fract_x
_atom_site_fract_y
_atom_site_fract_z
_atom_site_occupancy
V1 V 0.000 0.750 0.000 1
V2 V 0.500 0.250 0.500 1
F1 F 0.756 0.506 0.500 1
F2 F 0.244 0.994 0.500 1
F3 F 0.756 0.994 0.500 1
F4 F 0.500 0.250 0.755 1
F5 F 0.244 0.506 0.500 1
F6 F 0.000 0.750 0.255 1
F7 F 0.256 0.006 0.000 1
F8 F 0.256 0.494 0.000 1
F9 F 0.000 0.750 0.745 1
F10 F 0.744 0.494 0.000 1
F11 F 0.744 0.006 0.000 1
F12 F 0.500 0.250 0.245 1
Ni1 Ni 0.000 0.750 0.500 1
Ni2 Ni 0.500 0.250 0.000 1
Tl1 Tl 0.500 0.750 0.250 1
Tl2 Tl 0.000 0.250 0.250 1
Tl3 Tl 0.500 0.750 0.750 1
Tl4 Tl 0.000 0.250 0.750 1
# N(E_F) (states/eV/atom): 0.00
# Space-group type: No. 139
# M_tot (μB/cell): 10.0
# Crystal system: tetragonal
# E_tot (eV/atom): -4.779

=====

# 9
# YTl2Ni3F12 PBE+U relaxed
data_YTl2Ni3F12
_space_group_name_H-M_alt 'P 1'
_space_group_IT_number 1
_space_group_name_Hall 'P 1'
_cell_length_a 6.711
_cell_length_b 6.711
_cell_length_c 6.711
_cell_angle_alpha 67.48
_cell_angle_beta 67.48
_cell_angle_gamma 67.48
loop_
_atom_site_label
_atom_site_type_symbol
_atom_site_fract_x
_atom_site_fract_y
_atom_site_fract_z
_atom_site_occupancy
F1 F 0.151 0.151 0.582 1
F2 F 0.249 0.891 0.249 1
F3 F 0.418 0.849 0.849 1
F4 F 0.751 0.751 0.109 1
F5 F 0.891 0.249 0.249 1
F6 F 0.751 0.109 0.751 1
F7 F 0.109 0.751 0.751 1
F8 F 0.849 0.849 0.418 1
F9 F 0.849 0.418 0.849 1
F10 F 0.582 0.151 0.151 1
F11 F 0.151 0.582 0.151 1
F12 F 0.249 0.249 0.891 1
Tl1 Tl 0.606 0.606 0.606 1
Tl2 Tl 0.394 0.394 0.394 1
Ni1 Ni 0.500 0.000 0.000 1
Ni2 Ni 0.000 0.500 0.000 1
Ni3 Ni 0.000 0.000 0.500 1
Y1 Y 0.000 0.000 0.000 1
# N(E_F) (states/eV/atom): 0.19
# Space-group type: No. 166
# M_tot (μB/cell): 5.0
# Crystal system: trigonal
# E_tot (eV/atom): -4.705

=====

# 10
# Tl3ZnNi2F9 PBE+U relaxed
data_Tl3ZnNi2F9
_space_group_name_H-M_alt 'P 1'
_space_group_IT_number 1
_space_group_name_Hall 'P 1'
_cell_length_a 5.888
_cell_length_b 5.888
_cell_length_c 7.210
_cell_angle_alpha 90.00
_cell_angle_beta 90.00
_cell_angle_gamma 120.00
loop_
_atom_site_label
_atom_site_type_symbol
_atom_site_fract_x
_atom_site_fract_y
_atom_site_fract_z
_atom_site_occupancy
F1 F 0.168 0.832 0.332 1
F2 F 0.664 0.832 0.332 1
F3 F 0.832 0.664 0.668 1
F4 F 0.500 0.000 0.000 1
F5 F 0.000 0.500 0.000 1
F6 F 0.168 0.336 0.332 1
F7 F 0.336 0.168 0.668 1
F8 F 0.832 0.168 0.668 1
F9 F 0.500 0.500 0.000 1
Tl1 Tl 0.667 0.333 0.333 1
Tl2 Tl 0.000 0.000 0.000 1
Tl3 Tl 0.333 0.667 0.667 1
Zn1 Zn 0.000 0.000 0.500 1
Ni1 Ni 0.667 0.333 0.834 1
Ni2 Ni 0.333 0.667 0.166 1
# N(E_F) (states/eV/atom): 0.00
# Space-group type: No. 164
# M_tot (μB/cell): 4.0
# Crystal system: trigonal
# E_tot (eV/atom): -4.070